A plane-wave DFT calculation with PBE was carried out for a geometry-optimized K2NaSrHg structure.

a = 6.576 Å, b = 6.576 Å, c = 6.499 Å
α = 90.00°, β = 90.00°, γ = 90.00°
Fractional coordinates of all 5 atoms:
1 Hg 0.000 0.000 0.000
2 K 0.000 0.500 0.000
3 K 0.500 0.000 0.000
4 Na 0.500 0.500 0.500
5 Sr 0.000 0.000 0.500

Summary:
Total moment in μB/atom: 0.00
E_form in eV per atom: -0.0114
Raw total energy in eV per atom: -1.11
SG: No. 123
Volume in A^3/atom: 56.21